! SrTlCo3, single point on PBEsol structure, DFT meta-GGA SCAN; values from VASP
&SYSTEM
  ibrav = 0, nat = 5, ntyp = 3
/
ATOMIC_SPECIES
Tl 204.38 Tl.upf
Sr 87.62 Sr.upf
Co 58.93 Co.upf
ATOMIC_POSITIONS crystal
Tl 0.000 0.000 0.000
Sr 0.500 0.500 0.500
Co 0.000 0.000 0.500
Co 0.500 0.000 0.000
Co 0.000 0.500 0.000
CELL_PARAMETERS angstrom
4.831 0.000 0.000
0.000 4.831 0.000
0.000 0.000 4.831
! N(E_F), states/eV/atom: 1.886
! Energy of formation from the pure elements, eV per atom: 1.0375
! Space group: Pm-3m, No. 221